No. 1
A plane-wave DFT calculation with GGA-PBE was carried out for a relaxed DyEr2Ni crystal.

Summary:
**Energy relative to the elements**: -0.089 eV per atom
**Energy**: -4.966 eV/atom

Cell lengths 3.617, 3.617, 28.150 Å; angles 90.00, 90.00, 120.00 degrees
Positions (direct):
Dy  0.000  0.000  0.000
Dy  0.333  0.667  0.667
Dy  0.667  0.333  0.333
Er  0.000  0.000  0.228
Er  0.000  0.000  0.772
Er  0.333  0.667  0.439
Er  0.333  0.667  0.894
Er  0.667  0.333  0.106
Er  0.667  0.333  0.561
Ni  0.000  0.000  0.500
Ni  0.333  0.667  0.167
Ni  0.667  0.333  0.833

---

No. 2
A plane-wave DFT calculation with GGA-PBE was carried out for a relaxed AcTb7Pm12 crystal.

Summary:
**Energy relative to the elements**: 0.628 eV per atom
**Energy**: -4.048 eV/atom

Cell lengths 10.026, 10.026, 10.026 Å; angles 109.47, 109.47, 109.47 degrees
Positions (direct):
Ac  0.000  0.000  0.000
Tb  0.000  0.000  0.500
Tb  0.000  0.500  0.000
Tb  0.000  0.500  0.500
Tb  0.500  0.000  0.000
Tb  0.500  0.000  0.500
Tb  0.500  0.500  0.000
Tb  0.500  0.500  0.500
Pm  0.001  0.742  0.259
Pm  0.258  0.259  0.516
Pm  0.258  0.741  0.999
Pm  0.259  0.001  0.742
Pm  0.259  0.516  0.258
Pm  0.484  0.742  0.741
Pm  0.516  0.258  0.259
Pm  0.741  0.484  0.742
Pm  0.741  0.999  0.258
Pm  0.742  0.259  0.001
Pm  0.742  0.741  0.484
Pm  0.999  0.258  0.741

---

No. 3
A plane-wave DFT calculation with GGA-PBE was carried out for a relaxed ZrAgCO5 crystal.

Summary:
**ΔE_f (raw)**: -1.539 eV/atom
**Energy**: -7.216 eV/atom

Cell lengths 5.481, 5.481, 7.587 Å; angles 107.27, 107.27, 98.64 degrees
Positions (direct):
Zr  0.000  0.500  0.000
Zr  0.500  0.000  0.500
Ag  0.094  0.906  0.750
Ag  0.906  0.094  0.250
C  0.429  0.571  0.750
C  0.571  0.429  0.250
O  0.159  0.841  0.250
O  0.277  0.637  0.874
O  0.307  0.346  0.135
O  0.346  0.307  0.635
O  0.363  0.723  0.626
O  0.637  0.277  0.374
O  0.654  0.693  0.365
O  0.693  0.654  0.865
O  0.723  0.363  0.126
O  0.841  0.159  0.750

---

No. 4
A plane-wave DFT calculation with GGA-PBE was carried out for a relaxed ScTaRu crystal.

Summary:
**Energy relative to the elements**: -0.405 eV per atom
**Energy**: -9.558 eV/atom

Cell lengths 3.236, 14.093, 4.575 Å; angles 90.00, 90.00, 90.00 degrees
Positions (direct):
Sc  0.000  0.077  0.250
Sc  0.000  0.923  0.750
Sc  0.500  0.423  0.750
Sc  0.500  0.577  0.250
Ta  0.000  0.238  0.750
Ta  0.000  0.762  0.250
Ta  0.500  0.262  0.250
Ta  0.500  0.738  0.750
Ru  0.000  0.412  0.250
Ru  0.000  0.588  0.750
Ru  0.500  0.088  0.750
Ru  0.500  0.912  0.250